First-principles (PBE) data for a relaxed structure of NbAlZn2, as listed in Alexandria via LeMat-Bulk.

Cell and atoms, written as POSCAR:
```
NbAlZn2
1.0
-1.661 2.908 -2.218
2.010 -1.237 -3.127
-2.947 -2.403 -0.944
Zn Al Nb
2 1 1
Cartesian
-1.473 -1.201 -0.472 Zn
1.005 -0.618 -1.564 Zn
-1.299 -0.366 -3.144 Al
-0.830 1.454 -1.109 Nb
```

Properties
Energy of formation from the pure elements in eV per formula unit: -1.136
DOS(E_F) in states/eV per cell: 0.95
Total magnetic moment in μB/f.u.: 0.0